Crystalline TiGeHPd2 at its relaxed geometry, computed with PBE.

Values from the calculation:
space group = No. 123
E_tot = -0.4143 Ry/atom
total moment = 0.00 μB/atom

Cell: 3.8946 3.8946 4.2697 Å, 90.00 90.00 90.00°
Closest atoms and distances in Å follow each position.
Sites, in units of the cell vectors:
Pd: 0.0000 0.5000 0.0000  2 H 1.95
Pd: 0.5000 0.0000 0.0000  2 H 1.95
Ti: 0.0000 0.0000 0.5000  2 H 2.13
H: 0.0000 0.0000 0.0000  4 Pd 1.95, 2 Ti 2.13
Ge: 0.5000 0.5000 0.5000  4 Ti 2.75, 8 Pd 2.89

---

Crystalline Ce3Ge6RuPt2 at its relaxed geometry, computed with PBE.

Values from the calculation:
space group = No. 164
E_tot = -0.4436 Ry/atom
ΔE_f = -463 meV per atom
total moment = 0.04 μB/atom

Cell: 6.0389 6.0389 7.7423 Å, 90.00 90.00 120.00°
Closest atoms and distances in Å follow each position.
Sites, in units of the cell vectors:
Ge: 0.8104 0.1896 0.6968  1 Ru 2.50, 2 Ge 2.60, 1 Pt 2.66
Ge: 0.3793 0.1896 0.6968  1 Ru 2.50, 2 Ge 2.60, 1 Pt 2.66
Ge: 0.6207 0.8104 0.3032  1 Ru 2.50, 2 Ge 2.60, 1 Pt 2.66
Ge: 0.8104 0.6207 0.6968  1 Ru 2.50, 2 Ge 2.60, 1 Pt 2.66
Ge: 0.1896 0.8104 0.3032  1 Ru 2.50, 2 Ge 2.60, 1 Pt 2.66
Ge: 0.1896 0.3793 0.3032  1 Ru 2.50, 2 Ge 2.60, 1 Pt 2.66
Pt: 0.3333 0.6667 0.0199  3 Ge 2.66, 1 Ce 2.78
Pt: 0.6667 0.3333 0.9801  3 Ge 2.66, 1 Ce 2.78
Ru: 0.0000 0.0000 0.5000  6 Ge 2.50
Ce: 0.3333 0.6667 0.6613  1 Pt 2.78, 6 Ge 3.04
Ce: 0.0000 0.0000 0.0000  6 Ge 3.07
Ce: 0.6667 0.3333 0.3387  1 Pt 2.78, 6 Ge 3.04

---

Crystalline TaIn2Mo at its relaxed geometry, computed with PBE.

Values from the calculation:
space group = No. 166
E_tot = -0.4879 Ry/atom
ΔE_f = 402 meV per atom
total moment = 0.00 μB/atom

Cell: 9.8707 9.8707 9.8707 Å, 17.67 17.67 17.67°
Closest atoms and distances in Å follow each position.
Sites, in units of the cell vectors:
In: 0.9980 0.9980 0.9980  3 Mo 2.95, 6 In 3.03, 3 Ta 3.04
In: 0.5020 0.5020 0.5020  3 Mo 2.95, 6 In 3.03, 3 Ta 3.04
Mo: 0.2500 0.2500 0.2500  6 In 2.95, 6 Mo 3.03
Ta: 0.7500 0.7500 0.7500  6 Ta 3.03, 6 In 3.04

---

Crystalline Pr6IrS5 at its relaxed geometry, computed with PBE.

Values from the calculation:
space group = No. 12
E_form (uncorrected) = -1778.0 meV/atom
E_tot = -0.4870 Ry/atom
total moment = 0.00 μB/atom

Cell: 7.1762 7.1762 7.1598 Å, 99.64 99.64 119.85°
Closest atoms and distances in Å follow each position.
Sites, in units of the cell vectors:
Pr: 0.0815 0.4105 0.2462  1 Ir 2.89, 5 S 2.93-2.94
Pr: 0.4105 0.0815 0.2462  1 Ir 2.89, 5 S 2.93-2.94
Pr: 0.9185 0.5895 0.7538  1 Ir 2.89, 5 S 2.93-2.94
Pr: 0.5895 0.9185 0.7538  1 Ir 2.89, 5 S 2.93-2.94
Pr: 0.7532 0.7532 0.2479  1 Ir 2.90, 5 S 2.93-2.96
Pr: 0.2468 0.2468 0.7521  1 Ir 2.90, 5 S 2.93-2.96
Ir: 0.0000 0.0000 0.0000  6 Pr 2.89-2.90
S: 0.5000 0.5000 0.5000  6 Pr 2.93-2.96
S: 0.8301 0.1699 0.5000  6 Pr 2.93-2.95
S: 0.1699 0.8301 0.5000  6 Pr 2.93-2.95
S: 0.3336 0.6664 0.0000  6 Pr 2.93
S: 0.6664 0.3336 0.0000  6 Pr 2.93

---

Crystalline AgHg2 at its relaxed geometry, computed with PBE.

Values from the calculation:
space group = No. 58
E_tot = -0.0771 Ry/atom
ΔE_f = 102 meV per atom
total moment = 0.00 μB/atom

Cell: 3.0006 7.3247 6.8683 Å, 90.00 90.00 90.00°
Closest atoms and distances in Å follow each position.
Sites, in units of the cell vectors:
Hg: 0.0000 0.1745 0.3770  3 Ag 2.89-2.94, 3 Hg 3.00-3.06
Hg: 0.5000 0.6745 0.1230  3 Ag 2.89-2.94, 3 Hg 3.00-3.06
Hg: 0.0000 0.8255 0.6230  3 Ag 2.89-2.94, 3 Hg 3.00-3.06
Hg: 0.5000 0.3255 0.8770  3 Ag 2.89-2.94, 3 Hg 3.00-3.06
Ag: 0.0000 0.0000 0.0000  6 Hg 2.89-2.94, 2 Ag 3.00
Ag: 0.5000 0.5000 0.5000  6 Hg 2.89-2.94, 2 Ag 3.00

---

Crystalline GaBRu3 at its relaxed geometry, computed with PBE.

Values from the calculation:
space group = No. 63
E_tot = -0.5537 Ry/atom
ΔE_f = -28 meV per atom
total moment = 0.00 μB/atom

Cell: 2.8453 6.6049 7.5286 Å, 90.00 90.00 102.44°
Closest atoms and distances in Å follow each position.
Sites, in units of the cell vectors:
Ru: 0.3324 0.6648 0.5622  2 B 2.18
Ru: 0.6676 0.3352 0.0622  2 B 2.18
Ru: 0.8535 0.7070 0.2500  2 B 2.11
Ru: 0.1465 0.2930 0.7500  2 B 2.11
Ru: 0.3324 0.6648 0.9378  2 B 2.18
Ru: 0.6676 0.3352 0.4378  2 B 2.18
Ga: 0.0000 0.0000 0.0000  6 Ru 2.63-2.67, 2 Ga 2.85
Ga: 0.0000 0.0000 0.5000  6 Ru 2.63-2.67, 2 Ga 2.85
B: 0.7668 0.5337 0.7500  6 Ru 2.11-2.18
B: 0.2332 0.4663 0.2500  6 Ru 2.11-2.18

---

Crystalline SbSe2Cl at its relaxed geometry, computed with PBE.

Values from the calculation:
space group = No. 122
E_form (uncorrected) = 31.2 meV/atom
E_tot = -0.2354 Ry/atom
total moment = 0.00 μB/atom

Cell: 7.4930 7.4930 6.6547 Å, 55.74 55.74 90.00°
Closest atoms and distances in Å follow each position.
Sites, in units of the cell vectors:
Cl: 0.2500 0.7500 0.5000  4 Se 3.05
Cl: 0.5000 0.5000 0.0000  4 Se 3.05
Sb: 0.7500 0.2500 0.5000  4 Se 2.64
Sb: 0.0000 0.0000 0.0000  4 Se 2.64
Se: 0.6661 0.1250 0.2500  2 Sb 2.64
Se: 0.3750 0.3339 0.7500  2 Sb 2.64
Se: 0.0839 0.6250 0.2500  2 Sb 2.64
Se: 0.8750 0.9161 0.7500  2 Sb 2.64

---

Crystalline Be2ClO at its relaxed geometry, computed with PBE.

Values from the calculation:
space group = No. 225
E_form (uncorrected) = 227.5 meV/atom
E_tot = -0.2453 Ry/atom
total moment = 0.00 μB/atom

Cell: 3.8118 3.8118 3.8118 Å, 60.00 60.00 60.00°
Closest atoms and distances in Å follow each position.
Sites, in units of the cell vectors:
Be: 0.7500 0.7500 0.7500  4 O 2.33, 4 Cl 2.33
Be: 0.2500 0.2500 0.2500  4 Cl 2.33, 4 O 2.33
Cl: 0.5000 0.5000 0.5000  8 Be 2.33
O: 0.0000 0.0000 0.0000  8 Be 2.33

---

Crystalline TeSe6I2 at its relaxed geometry, computed with PBE.

Values from the calculation:
space group = No. 2
E_form (uncorrected) = 39.8 meV/atom
E_tot = -0.2188 Ry/atom
total moment = 0.00 μB/atom

Cell: 20.4828 7.9577 13.7077 Å, 44.51 44.38 34.53°
Closest atoms and distances in Å follow each position.
Sites, in units of the cell vectors:
I: 0.0463 0.9586 0.2421  1 Se 2.63
I: 0.9537 0.0414 0.7579  1 Se 2.63
I: 0.1547 0.5334 0.1032  1 Se 2.89
I: 0.8453 0.4666 0.8968  1 Se 2.89
Se: 0.5893 0.9724 0.5120  1 Se 2.30
Se: 0.5751 0.5366 0.0885  1 Se 2.32
Se: 0.0762 0.2426 0.8208  1 Se 2.37
Se: 0.4400 0.5856 0.1034  2 Se 2.32-2.44
Se: 0.4065 0.7667 0.4733  2 Se 2.30-2.45
Se: 0.5600 0.4144 0.8966  2 Se 2.32-2.44
Se: 0.4107 0.0276 0.4880  1 Se 2.30
Se: 0.9440 0.3042 0.3661  1 Se 2.37, 1 I 2.63
Se: 0.5935 0.2333 0.5267  2 Se 2.30-2.45
Se: 0.9238 0.7574 0.1792  1 Se 2.37
Se: 0.4249 0.4634 0.9115  1 Se 2.32
Se: 0.0560 0.6958 0.6339  1 Se 2.37, 1 I 2.63
Te: 0.7131 0.9459 0.2404  3 Se 2.64-2.75
Te: 0.2869 0.0541 0.7596  3 Se 2.64-2.75

---

Crystalline Te4PbW at its relaxed geometry, computed with PBE.

Values from the calculation:
space group = No. 216
E_form (uncorrected) = 1192.2 meV/atom
E_tot = -0.2704 Ry/atom
total moment = 0.72 μB/atom

Cell: 6.3216 6.3216 6.3216 Å, 60.00 60.00 60.00°
Closest atoms and distances in Å follow each position.
Sites, in units of the cell vectors:
Te: 0.3763 0.3763 0.8712  6 Te 3.13-3.19
Te: 0.8712 0.3763 0.3763  6 Te 3.13-3.19
Te: 0.3763 0.3763 0.3763  6 Te 3.13-3.19
Te: 0.3763 0.8712 0.3763  6 Te 3.13-3.19
Pb: 0.0000 0.0000 0.0000  12 Te 3.71, 4 W 3.87
W: 0.7500 0.7500 0.7500  12 Te 3.70, 4 Pb 3.87

---

Crystalline Rb4Bi3SbTe8 at its relaxed geometry, computed with PBE.

Values from the calculation:
space group = No. 166
E_form (uncorrected) = -592.1 meV/atom
E_tot = -0.2492 Ry/atom
total moment = 0.00 μB/atom

Cell: 9.2141 10.1188 9.2146 Å, 117.11 120.00 90.00°
Closest atoms and distances in Å follow each position.
Sites, in units of the cell vectors:
Bi: 0.5000 0.5000 0.5000  6 Te 3.18-3.19
Bi: 0.0000 0.5000 0.5000  6 Te 3.18-3.19
Bi: 0.5000 0.5000 0.0000  6 Te 3.18-3.19
Rb: 0.5000 0.0000 0.0000  6 Te 3.73-3.74
Rb: 0.0000 0.0000 0.5000  6 Te 3.69
Rb: 0.5000 0.0000 0.5000  6 Te 3.69
Rb: 0.0000 0.0000 0.0000  6 Te 3.69
Te: 0.2610 0.2995 0.0301  1 Sb 3.13, 2 Bi 3.19
Te: 0.2655 0.2967 0.5310  3 Bi 3.18
Te: 0.7390 0.7005 0.9699  1 Sb 3.13, 2 Bi 3.19
Te: 0.2308 0.7005 0.4617  1 Sb 3.13, 2 Bi 3.19
Te: 0.2308 0.7005 0.9699  1 Sb 3.13, 2 Bi 3.19
Te: 0.7345 0.7033 0.4690  3 Bi 3.18
Te: 0.7692 0.2995 0.0301  1 Sb 3.13, 2 Bi 3.19
Te: 0.7692 0.2995 0.5383  1 Sb 3.13, 2 Bi 3.19
Sb: 0.0000 0.5000 0.0000  6 Te 3.13

---

Crystalline SrNd2NbN4 at its relaxed geometry, computed with PBE.

Values from the calculation:
space group = No. 63
E_form (uncorrected) = -1089.3 meV/atom
E_tot = -0.5816 Ry/atom
total moment = 0.00 μB/atom

Cell: 3.5528 6.5154 12.6175 Å, 90.00 90.00 105.82°
Closest atoms and distances in Å follow each position.
Sites, in units of the cell vectors:
N: 0.5824 0.1649 0.2500  2 Nb 2.09
N: 0.2623 0.5245 0.1275  1 Nb 1.93
N: 0.0000 0.0000 0.0000  4 Nd 2.44
N: 0.4176 0.8351 0.7500  2 Nb 2.09
N: 0.2623 0.5245 0.3725  1 Nb 1.93
N: 0.7377 0.4755 0.8725  1 Nb 1.93
N: 0.7377 0.4755 0.6275  1 Nb 1.93
N: 0.0000 0.0000 0.5000  4 Nd 2.44
Nd: 0.6294 0.2588 0.0344  5 N 2.44-2.70
Nd: 0.6294 0.2588 0.4656  5 N 2.44-2.70
Nd: 0.3706 0.7412 0.5344  5 N 2.44-2.70
Nd: 0.3706 0.7412 0.9656  5 N 2.44-2.70
Sr: 0.0976 0.1951 0.7500  6 N 2.87-2.94
Sr: 0.9024 0.8049 0.2500  6 N 2.87-2.94
Nb: 0.1698 0.3396 0.2500  4 N 1.93-2.09
Nb: 0.8302 0.6604 0.7500  4 N 1.93-2.09

---

Look up the E_tot of the twelfth one. -0.5816 Ry/atom